(1)
VASP calculation (PBE) on NaCd2Te2 after structural relaxation.

Unit cell a=6.2757 b=6.2757 c=6.2757 alpha=126.06 beta=126.06 gamma=79.79
With the nearest neighbours (Å) after each atom.
Sites, in units of the cell vectors:
Na 0.0000 0.0000 0.0000  2 Cd 3.39, 8 Te 3.73
Cd 0.3519 0.3519 0.0000  1 Cd 2.85, 4 Te 3.01
Cd 0.6481 0.6481 0.0000  1 Cd 2.85, 4 Te 3.01
Te 0.2500 0.7500 0.5000  4 Cd 3.01
Te 0.7500 0.2500 0.5000  4 Cd 3.01

Properties
SG: I4/mmm
N(E_F), states/eV per cell: 3.58
Magnetic moment, μB/f.u.: 0.0



(2)
VASP calculation (PBE) on NaCd2Te2 after structural relaxation.

Unit cell a=8.3101 b=8.3101 c=8.3101 alpha=148.96 beta=148.96 gamma=44.47
With the nearest neighbours (Å) after each atom.
Sites, in units of the cell vectors:
Na 0.0000 0.0000 0.0000  8 Te 3.57
Cd 0.2500 0.7500 0.5000  4 Te 3.09, 4 Cd 3.14
Cd 0.7500 0.2500 0.5000  4 Te 3.09, 4 Cd 3.14
Te 0.3898 0.3898 0.0000  4 Cd 3.09, 1 Te 3.39
Te 0.6102 0.6102 0.0000  4 Cd 3.09, 1 Te 3.39

Properties
SG: I4/mmm
N(E_F), states/eV per cell: 2.91
Magnetic moment, μB/f.u.: 0.0



Result of the stability comparison: (2) is the most stable of them.



(1)
VASP calculation (PBE) on NaCd3Te after structural relaxation.

Unit cell a=5.9061 b=5.9061 c=5.9061 alpha=90.00 beta=90.00 gamma=90.00
With the nearest neighbours (Å) after each atom.
Sites, in units of the cell vectors:
Na 0.0000 0.0000 0.0000  12 Cd 4.18
Cd 0.0000 0.5000 0.5000  2 Te 2.95
Cd 0.5000 0.0000 0.5000  2 Te 2.95
Cd 0.5000 0.5000 0.0000  2 Te 2.95
Te 0.5000 0.5000 0.5000  6 Cd 2.95

Properties
SG: Pm-3m
N(E_F), states/eV per cell: 3.17
Magnetic moment, μB/f.u.: 0.0



(2)
VASP calculation (PBE) on NaCd3Te after structural relaxation.

Unit cell a=5.4889 b=5.4889 c=5.4889 alpha=90.00 beta=90.00 gamma=90.00
With the nearest neighbours (Å) after each atom.
Sites, in units of the cell vectors:
Na 0.0000 0.0000 0.0000  6 Cd 2.74
Cd 0.0000 0.0000 0.5000  2 Na 2.74
Cd 0.0000 0.5000 0.0000  2 Na 2.74
Cd 0.5000 0.0000 0.0000  2 Na 2.74
Te 0.5000 0.5000 0.5000  12 Cd 3.88

Properties
SG: Pm-3m
N(E_F), states/eV per cell: 4.68
Magnetic moment, μB/f.u.: 0.0



Result of the stability comparison: (1) is the most stable of them.



(1)
VASP calculation (PBE) on NaThCd2 after structural relaxation.

Unit cell a=5.7100 b=5.7100 c=3.3784 alpha=90.00 beta=90.00 gamma=90.00
With the nearest neighbours (Å) after each atom.
Sites, in units of the cell vectors:
Na 0.0000 0.0000 0.0000  8 Cd 3.32, 2 Na 3.38
Th 0.5000 0.5000 0.0000  8 Cd 3.32, 2 Th 3.38
Cd 0.0000 0.5000 0.5000  4 Th 3.32, 4 Na 3.32, 2 Cd 3.38
Cd 0.5000 0.0000 0.5000  4 Th 3.32, 4 Na 3.32, 2 Cd 3.38

Properties
SG: P4/mmm
N(E_F), states/eV per cell: 3.91
Magnetic moment, μB/f.u.: 0.0



(2)
VASP calculation (PBE) on NaThCd2 after structural relaxation.

Unit cell a=3.3373 b=3.3373 c=9.5739 alpha=90.00 beta=90.00 gamma=90.00
With the nearest neighbours (Å) after each atom.
Sites, in units of the cell vectors:
Na 0.0000 0.0000 0.0000  8 Cd 3.32, 4 Na 3.34
Th 0.0000 0.0000 0.5000  4 Th 3.34, 8 Cd 3.40
Cd 0.5000 0.5000 0.2440  4 Na 3.32, 4 Cd 3.34, 4 Th 3.40
Cd 0.5000 0.5000 0.7560  4 Na 3.32, 4 Cd 3.34, 4 Th 3.40

Properties
SG: P4/mmm
N(E_F), states/eV per cell: 2.09
Magnetic moment, μB/f.u.: 0.0



Result of the stability comparison: (2) is the most stable of them.